The following is a DFT calculation (PBE) of a geometry-optimized Ca3LaTc structure.

Unit cell a=5.541 b=5.541 c=5.541 alpha=90.00 beta=90.00 gamma=90.00
Atoms (fractional coordinates):
Ca (0.000, 0.500, 0.000)
Ca (0.000, 0.000, 0.500)
Ca (0.500, 0.000, 0.000)
Tc (0.000, 0.000, 0.000)
La (0.500, 0.500, 0.500)

Summary:
Space group: Pm-3m (221)
Formation enthalpy at 0 K in eV/atom: 0.534
M_tot in μB/f.u.: 0.00
Calculated volume in Å³/cell: 170.16


The following is a DFT calculation (PBE) of a geometry-optimized Ca2LaTc structure.

Unit cell a=4.511 b=4.511 c=5.355 alpha=90.00 beta=90.00 gamma=90.00
Each line ends with the local moment (μB).
Atoms (fractional coordinates):
Ca (0.000, 0.000, 0.000)  -0.03
Ca (0.500, 0.500, 0.000)  -0.03
Tc (0.000, 0.500, 0.500)  0.81
La (0.500, 0.000, 0.500)  -0.05

Summary:
Space group: P4/mmm (123)
Formation enthalpy at 0 K in eV/atom: 0.470
M_tot in μB/f.u.: 0.65
Relative energy among the computed polymorphs in meV/atom: 247
Calculated volume in Å³/cell: 108.99


The following is a DFT calculation (PBE) of a geometry-optimized Ca4LaTc structure.

Unit cell a=6.674 b=6.674 c=6.674 alpha=60.00 beta=60.00 gamma=60.00
Each line ends with the local moment (μB).
Atoms (fractional coordinates):
Ca (0.877, 0.374, 0.374)  0.00
Ca (0.374, 0.374, 0.877)  0.00
Ca (0.374, 0.877, 0.374)  0.00
Ca (0.374, 0.374, 0.374)  0.00
La (0.750, 0.750, 0.750)  -0.30
Tc (0.000, 0.000, 0.000)  2.54

Summary:
Space group: F-43m (216)
Formation enthalpy at 0 K in eV/atom: 0.875
M_tot in μB/f.u.: 2.15
Calculated volume in Å³/cell: 210.25


The following is a DFT calculation (PBE) of a geometry-optimized CaLaTc3 structure.

Unit cell a=4.822 b=4.822 c=4.822 alpha=90.00 beta=90.00 gamma=90.00
Each line ends with the local moment (μB).
Atoms (fractional coordinates):
Ca (0.000, 0.000, 0.000)  -0.01
Tc (0.000, 0.500, 0.000)  0.99
Tc (0.000, 0.000, 0.500)  0.85
Tc (0.500, 0.000, 0.000)  0.78
La (0.500, 0.500, 0.500)  0.02

Summary:
Space group: Pm-3m (221)
Formation enthalpy at 0 K in eV/atom: 1.835
M_tot in μB/f.u.: 2.87
Relative energy among the computed polymorphs in meV/atom: 229
Calculated volume in Å³/cell: 112.08


The following is a DFT calculation (PBE) of a geometry-optimized Ca2LaTc structure.

Unit cell a=3.435 b=3.435 c=10.152 alpha=90.00 beta=90.00 gamma=90.62
Each line ends with the local moment (μB).
Atoms (fractional coordinates):
Ca (0.000, 0.000, 0.934)  0.00
Ca (0.000, 0.000, 0.566)  0.00
Tc (0.500, 0.500, 0.750)  1.50
La (0.500, 0.500, 0.250)  -0.01

Summary:
Space group: Cmmm (65)
Formation enthalpy at 0 K in eV/atom: 0.506
M_tot in μB/f.u.: 1.66
Relative energy among the computed polymorphs in meV/atom: 282
Calculated volume in Å³/cell: 119.76


The following is a DFT calculation (PBE) of a geometry-optimized CaLaTc3 structure.

Unit cell a=4.907 b=4.907 c=4.907 alpha=90.00 beta=90.00 gamma=90.00
Each line ends with the local moment (μB).
Atoms (fractional coordinates):
Ca (0.500, 0.500, 0.500)  0.01
Tc (0.000, 0.500, 0.000)  1.16
Tc (0.000, 0.000, 0.500)  1.19
Tc (0.500, 0.000, 0.000)  0.81
La (0.000, 0.000, 0.000)  0.03

Summary:
Space group: Pm-3m (221)
Formation enthalpy at 0 K in eV/atom: 1.606
M_tot in μB/f.u.: 3.53
Relative energy among the computed polymorphs in meV/atom: 0
Calculated volume in Å³/cell: 118.16